[1]
First-principles (PBEsol) data for an optimized crystal structure of Tl2IrAu, as listed in Alexandria.

E_form	1.94	eV per formula unit
final energy	-17.06	eV per formula unit
polymorph energy (0 for the lowest one)	0.0000	eV/atom

Lattice parameters (Å, degrees): 4.7611 4.7611 4.7611 60.00 60.00 60.00
Last column: nearest neighbours and their distance in Å.
Fractional coordinates of all 4 atoms:
Au 0.0000 0.0000 0.0000  8 Tl 2.92
Ir 0.5000 0.5000 0.5000  8 Tl 2.92
Tl 0.2500 0.2500 0.2500  4 Ir 2.92, 4 Au 2.92
Tl 0.7500 0.7500 0.7500  4 Au 2.92, 4 Ir 2.92


[2]
First-principles (PBEsol) data for an optimized crystal structure of TlIrAu2, as listed in Alexandria.

E_form	1.89	eV per formula unit
final energy	-18.41	eV per formula unit
polymorph energy (0 for the lowest one)	0.1976	eV/atom

Lattice parameters (Å, degrees): 4.6171 4.6171 4.6171 60.00 60.00 60.00
Last column: nearest neighbours and their distance in Å.
Fractional coordinates of all 4 atoms:
Au 0.2500 0.2500 0.2500  4 Tl 2.83, 4 Ir 2.83
Au 0.7500 0.7500 0.7500  4 Tl 2.83, 4 Ir 2.83
Ir 0.0000 0.0000 0.0000  8 Au 2.83
Tl 0.5000 0.5000 0.5000  8 Au 2.83